PrHo2Sn2, optimized geometry, DFT PBE-GGA; ΔH_f (0 K) = -0.522 eV per atom; ρ = 7.85 g cm⁻³; density of states at the Fermi level = 1.031 states/eV per atom
1.0
4.6125 0.4829 -0.2686
-0.5076 4.6098 -0.2686
-1.6842 -2.0894 7.1878
Ho Sn Pr
2 2 1
direct
0.2500 0.7500 0.5000 Ho
0.7500 0.2500 0.5000 Ho
0.6027 0.6027 0.2028 Sn
0.3973 0.3973 0.7972 Sn
0.0000 0.0000 0.0000 Pr



NbSn2BiPb, optimized geometry, DFT PBE-GGA; ΔH_f (0 K) = 0.499 eV per atom; ρ = 7.57 g cm⁻³; density of states at the Fermi level = 1.339 states/eV per atom
1.0
5.4324 0.0000 0.0000
0.0000 5.5495 0.0000
0.0000 0.0000 5.4324
Nb Bi Pb Sn
1 1 1 2
direct
0.0000 0.0000 0.0000 Nb
0.5000 0.5000 0.5000 Bi
0.0000 0.5000 0.0000 Pb
0.0000 0.0000 0.5000 Sn
0.5000 0.0000 0.0000 Sn



Nd2Cd3Ag2, optimized geometry, DFT PBE-GGA; energy relative to the lowest polymorph listed for this composition = 55 meV/atom; ΔH_f (0 K) = -0.239 eV per atom; ρ = 7.98 g cm⁻³; density of states at the Fermi level = 0.702 states/eV per atom
1.0
4.3655 0.0000 0.0000
-2.1827 5.3371 0.2300
0.0000 -0.9271 7.4754
Ag Cd Nd
2 3 2
direct
0.0898 0.1796 0.6441 Ag
0.9102 0.8204 0.3559 Ag
0.3135 0.6271 0.1282 Cd
0.0000 0.0000 0.0000 Cd
0.6865 0.3729 0.8718 Cd
0.6226 0.2453 0.3292 Nd
0.3774 0.7547 0.6708 Nd



NaCdSbSe3, optimized geometry, DFT PBE-GGA; formation energy from raw total energies = -594.7 meV/atom; ρ = 4.51 g cm⁻³
1.0
-2.3288 2.0504 2.8149
6.3831 -3.4192 7.7714
3.9413 7.0305 -1.8603
Cd Se Sb Na
2 6 2 2
direct
0.7500 0.9230 0.3496 Cd
0.2500 0.0770 0.6504 Cd
0.2500 0.5322 0.8052 Se
0.7500 0.1697 0.4906 Se
0.7500 0.4678 0.1948 Se
0.2500 0.8303 0.5094 Se
0.7500 0.8216 0.0360 Se
0.2500 0.1784 0.9640 Se
0.2500 0.6569 0.1036 Sb
0.7500 0.3431 0.8964 Sb
0.7500 0.7027 0.6846 Na
0.2500 0.2973 0.3154 Na



LaDy2Se4, optimized geometry, DFT PBE-GGA; energy relative to the lowest polymorph listed for this composition = 12 meV/atom; formation energy from raw total energies = -1916.1 meV/atom; ρ = 6.84 g cm⁻³; density of states at the Fermi level = 0.379 states/eV per atom
1.0
-2.7941 -0.9414 2.8162
8.9748 -4.2418 7.4866
1.4432 13.6095 5.9810
Se Dy La
16 8 4
direct
0.7500 0.4714 0.7835 Se
0.2500 0.4050 0.5795 Se
0.7500 0.8663 0.4649 Se
0.7500 0.7952 0.1789 Se
0.7500 0.3663 0.0351 Se
0.7500 0.0950 0.0795 Se
0.2500 0.9050 0.9205 Se
0.7500 0.2952 0.3211 Se
0.2500 0.7048 0.6789 Se
0.2500 0.0286 0.2835 Se
0.7500 0.5950 0.4205 Se
0.2500 0.1337 0.5351 Se
0.2500 0.6337 0.9649 Se
0.2500 0.5286 0.2165 Se
0.7500 0.9714 0.7165 Se
0.2500 0.2048 0.8211 Se
0.7500 0.0651 0.8901 Dy
0.2500 0.4137 0.9052 Dy
0.7500 0.5863 0.0948 Dy
0.2500 0.4349 0.3901 Dy
0.2500 0.9137 0.5948 Dy
0.7500 0.5651 0.6099 Dy
0.7500 0.0863 0.4052 Dy
0.2500 0.9349 0.1099 Dy
0.7500 0.2421 0.6683 La
0.2500 0.7579 0.3317 La
0.7500 0.7421 0.8317 La
0.2500 0.2579 0.1683 La



La8Er2Sc, optimized geometry, DFT PBE-GGA; ΔH_f (0 K) = 0.105 eV per atom; ρ = 6.43 g cm⁻³; density of states at the Fermi level = 1.521 states/eV per atom
1.0
5.5641 0.0000 -1.6895
-0.9639 7.1447 -3.1745
-0.0843 -0.0247 9.7292
La Sc Er
8 1 2
direct
0.0001 0.7232 0.0002 La
0.6292 0.8345 0.2583 La
0.3711 0.5757 0.7423 La
0.3708 0.1655 0.7417 La
0.1714 0.1718 0.3428 La
0.6289 0.4243 0.2577 La
0.9999 0.2768 0.9998 La
0.8286 0.8282 0.6572 La
0.5000 0.0000 0.0000 Sc
0.1992 0.6988 0.3985 Er
0.8008 0.3012 0.6015 Er



La2TbCeBi4, optimized geometry, DFT PBE-GGA; ΔH_f (0 K) = -0.945 eV per atom; ρ = 8.37 g cm⁻³; density of states at the Fermi level = 0.860 states/eV per atom
1.0
-2.9150 2.2091 -2.8406
1.7345 -5.2092 -5.8312
-6.2195 -2.7302 4.2593
Ce Bi La Tb
1 4 2 1
direct
0.5000 0.5000 0.0000 Ce
0.5000 0.2447 0.2398 Bi
0.5000 0.7553 0.7602 Bi
0.0000 0.2507 0.7587 Bi
0.0000 0.7493 0.2413 Bi
0.0000 0.5000 0.5000 La
0.5000 0.0000 0.5000 La
0.0000 0.0000 0.0000 Tb



Ac2TmGa, optimized geometry, DFT PBE-GGA; energy relative to the lowest polymorph listed for this composition = 391 meV/atom; ΔH_f (0 K) = 0.241 eV per atom; ρ = 7.57 g cm⁻³; density of states at the Fermi level = 1.168 states/eV per atom
1.0
-3.2058 1.7402 0.9036
-3.0742 -0.5160 -2.0988
-5.3295 -9.2476 6.7153
Ac Tm Ga
2 1 1
direct
0.9127 0.9127 0.2618 Ac
0.0873 0.0873 0.7382 Ac
0.5000 0.5000 0.5000 Tm
0.0000 0.0000 0.0000 Ga



ErBe2Co2, optimized geometry, DFT PBE-GGA; energy relative to the lowest polymorph listed for this composition = 0 meV/atom; ΔH_f (0 K) = -0.244 eV per atom; ρ = 7.84 g cm⁻³; density of states at the Fermi level = 0.446 states/eV per atom
1.0
-2.1405 0.9001 3.1675
0.1815 -3.7400 1.1854
4.4633 2.2595 -0.0608
Er Be Co
1 2 2
direct
0.5000 0.0000 0.5000 Er
0.1457 0.6457 0.7913 Be
0.8543 0.3543 0.2087 Be
0.7500 0.7500 0.0000 Co
0.2500 0.2500 0.0000 Co



RbGeH3, optimized geometry, DFT PBE-GGA; energy relative to the lowest polymorph listed for this composition = 0 meV/atom; ρ = 2.61 g cm⁻³; density of states at the Fermi level = 0.000 states/eV per atom
1.0
-3.3479 -1.0322 3.3882
1.5165 -5.3877 -0.1408
5.0683 1.2863 5.4126
H Rb Ge
6 2 2
direct
0.9775 0.6068 0.2005 H
0.6699 0.1066 0.7010 H
0.6217 0.7918 0.3526 H
0.0248 0.2921 0.8530 H
0.6221 0.7919 0.0486 H
0.0253 0.2923 0.5489 H
0.4974 0.5984 0.7008 Rb
0.1501 0.0983 0.2008 Rb
0.6479 0.5889 0.2005 Ge
0.9995 0.0893 0.7009 Ge



Ac6Ir2PdAu, optimized geometry, DFT PBE-GGA; ΔH_f (0 K) = -0.630 eV per atom; ρ = 9.46 g cm⁻³; density of states at the Fermi level = 0.710 states/eV per atom
1.0
-5.4060 -3.9443 3.8452
1.5324 -7.0970 2.6107
1.0057 -0.9759 8.1557
Ac Ir Pd Au
6 2 1 1
direct
0.2458 0.8987 0.2426 Ac
0.6128 0.2454 0.2428 Ac
0.3870 0.7394 0.7483 Ac
0.7388 0.1254 0.7484 Ac
0.8992 0.6125 0.2427 Ac
0.1253 0.3874 0.7484 Ac
0.0056 0.0059 0.9825 Ir
0.5082 0.5081 0.4755 Ir
0.3206 0.3206 0.0386 Pd
0.8184 0.8180 0.5456 Au



Hf2FeSi, optimized geometry, DFT PBE-GGA; formation energy from raw total energies = -571.0 meV/atom; ρ = 10.91 g cm⁻³; density of states at the Fermi level = 0.820 states/eV per atom
1.0
-1.9556 2.5691 1.4213
-7.7112 -6.1926 0.5836
1.1313 -1.0783 3.5060
Hf Si Fe
4 2 2
direct
0.5000 0.8959 0.5000 Hf
0.5000 0.6069 0.0000 Hf
0.0000 0.1041 0.0000 Hf
0.0000 0.3931 0.5000 Hf
0.0000 0.6761 0.5000 Si
0.5000 0.3239 0.0000 Si
0.0000 0.8252 0.0000 Fe
0.5000 0.1748 0.5000 Fe



ScPdSe2Br, optimized geometry, DFT PBE-GGA; energy relative to the lowest polymorph listed for this composition = 38 meV/atom; formation energy from raw total energies = -210.9 meV/atom; ρ = 5.26 g cm⁻³; density of states at the Fermi level = 0.660 states/eV per atom
1.0
4.9947 0.0000 0.0000
0.0000 4.9947 0.0000
0.0000 0.0000 4.9239
Br Se Pd Sc
1 2 1 1
direct
0.0000 0.0000 0.5000 Br
0.5000 0.0000 0.0000 Se
0.0000 0.5000 0.0000 Se
0.0000 0.0000 0.0000 Pd
0.5000 0.5000 0.5000 Sc



Li3CaCr, optimized geometry, DFT PBE-GGA; energy relative to the lowest polymorph listed for this composition = 0 meV/atom; ΔH_f (0 K) = 0.506 eV per atom; ρ = 1.44 g cm⁻³; density of states at the Fermi level = 0.669 states/eV per atom
1.0
5.0662 0.0000 0.0000
0.0000 5.0662 0.0000
0.0000 0.0000 5.0662
Li Cr Ca
3 1 1
direct
0.5000 0.0000 0.0000 Li
0.0000 0.5000 0.0000 Li
0.0000 0.0000 0.5000 Li
0.0000 0.0000 0.0000 Cr
0.5000 0.5000 0.5000 Ca



In4SbAs, optimized geometry, DFT PBE-GGA; formation energy from raw total energies = 349.6 meV/atom; ρ = 6.63 g cm⁻³; density of states at the Fermi level = 0.998 states/eV per atom
1.0
0.6216 -5.1447 -3.3089
-4.5848 -4.0913 -0.2125
-3.2293 -0.7321 -5.1807
In As Sb
4 1 1
direct
0.3748 0.8756 0.3748 In
0.3748 0.3748 0.8756 In
0.8756 0.3748 0.3748 In
0.3748 0.3748 0.3748 In
0.0000 0.0000 0.0000 As
0.7500 0.7500 0.7500 Sb



KSn2I6, optimized geometry, DFT PBE-GGA; energy relative to the lowest polymorph listed for this composition = 0 meV/atom; formation energy from raw total energies = -635.0 meV/atom; ρ = 3.87 g cm⁻³; density of states at the Fermi level = 0.178 states/eV per atom
1.0
5.8462 0.0000 0.0000
2.9231 7.4823 -0.4821
2.9231 2.5596 10.0241
Sn I K
2 6 1
direct
0.8172 0.2107 0.1550 Sn
0.1828 0.7893 0.8450 Sn
0.9941 0.8230 0.1888 I
0.6647 0.2409 0.4296 I
0.3353 0.7591 0.5704 I
0.6998 0.7032 0.8971 I
0.0059 0.1770 0.8112 I
0.3002 0.2968 0.1029 I
0.0000 0.5000 0.5000 K



CuPd4Au4, optimized geometry, DFT PBE-GGA; energy relative to the lowest polymorph listed for this composition = 525 meV/atom; ΔH_f (0 K) = 0.448 eV per atom; ρ = 12.07 g cm⁻³; density of states at the Fermi level = 0.793 states/eV per atom
1.0
6.8791 0.0000 0.0000
0.0000 6.8791 0.0000
-3.4395 -3.4395 3.7141
Au Pd Cu
4 4 1
direct
0.9464 0.4181 0.3645 Au
0.0536 0.0536 0.6355 Au
0.5819 0.5819 0.6355 Au
0.4181 0.9464 0.3645 Au
0.0000 0.5000 0.0000 Pd
0.5000 0.0000 0.0000 Pd
0.3366 0.3366 0.6732 Pd
0.6634 0.6634 0.3268 Pd
0.0000 0.0000 0.0000 Cu



MgMo2Se, optimized geometry, DFT PBE-GGA; energy relative to the lowest polymorph listed for this composition = 220 meV/atom; formation energy from raw total energies = 247.0 meV/atom; ρ = 7.29 g cm⁻³; density of states at the Fermi level = 0.831 states/eV per atom
1.0
5.0935 0.0014 0.0175
4.1090 3.0099 0.0175
0.8548 0.2797 4.3907
Mo Mg Se
2 1 1
direct
0.0078 0.0078 0.9895 Mo
0.4922 0.4922 0.5105 Mo
0.2500 0.2500 0.2500 Mg
0.7500 0.7500 0.7500 Se



InP2RhS, optimized geometry, DFT PBE-GGA; energy relative to the lowest polymorph listed for this composition = 0 meV/atom; formation energy from raw total energies = 357.6 meV/atom; ρ = 4.91 g cm⁻³; density of states at the Fermi level = 0.998 states/eV per atom
1.0
-2.2557 2.0169 3.3351
-0.0393 -3.8650 2.3108
4.4957 1.3016 2.2535
P S Rh In
2 1 1 1
direct
0.0000 0.5000 0.0000 P
0.5000 0.0000 0.0000 P
0.0000 0.0000 0.5000 S
0.0000 0.0000 0.0000 Rh
0.5000 0.5000 0.5000 In



HoErTmLu, optimized geometry, DFT PBE-GGA; ΔH_f (0 K) = 0.135 eV per atom; ρ = 9.19 g cm⁻³; density of states at the Fermi level = 2.356 states/eV per atom
1.0
-4.0243 -2.5142 2.9172
1.2188 -4.3678 3.2348
-0.1552 0.5112 5.5445
Er Ho Tm Lu
1 1 1 1
direct
0.0000 0.0000 0.0000 Er
0.5000 0.5000 0.5000 Ho
0.2500 0.2500 0.2500 Tm
0.7500 0.7500 0.7500 Lu



Zr2MnNi2, optimized geometry, DFT PBE-GGA; ΔH_f (0 K) = -0.108 eV per atom; ρ = 7.50 g cm⁻³; density of states at the Fermi level = 1.662 states/eV per atom
1.0
6.4424 0.0000 0.0000
0.0000 6.4424 0.0000
0.0000 0.0000 3.7833
Ni Zr Mn
4 4 2
direct
0.8719 0.6281 0.0000 Ni
0.6281 0.1281 0.0000 Ni
0.1281 0.3719 0.0000 Ni
0.3719 0.8719 0.0000 Ni
0.3207 0.1793 0.5000 Zr
0.1793 0.6793 0.5000 Zr
0.6793 0.8207 0.5000 Zr
0.8207 0.3207 0.5000 Zr
0.0000 0.0000 0.0000 Mn
0.5000 0.5000 0.0000 Mn



SrMn2Cr, optimized geometry, DFT PBE-GGA; energy relative to the lowest polymorph listed for this composition = 603 meV/atom; ΔH_f (0 K) = 1.037 eV per atom; ρ = 4.75 g cm⁻³; density of states at the Fermi level = 1.500 states/eV per atom
1.0
5.3724 0.0045 0.0000
1.6283 5.1197 0.0000
-3.5004 -2.5621 3.1695
Cr Mn Sr
1 2 1
direct
0.7500 0.2500 0.5000 Cr
0.0000 0.0000 0.0000 Mn
0.2500 0.7500 0.5000 Mn
0.5000 0.5000 0.0000 Sr



MgCu4Pd15, optimized geometry, DFT PBE-GGA; ΔH_f (0 K) = -0.148 eV per atom; ρ = 10.48 g cm⁻³; density of states at the Fermi level = 1.107 states/eV per atom
1.0
3.8945 0.0000 0.0000
0.0000 3.8945 0.0000
0.0000 0.0000 19.5940
Cu Pd Mg
4 15 1
direct
0.0000 0.0000 0.2033 Cu
0.0000 0.0000 0.4008 Cu
0.0000 0.0000 0.5992 Cu
0.0000 0.0000 0.7967 Cu
0.0000 0.5000 0.1041 Pd
0.5000 0.0000 0.8959 Pd
0.0000 0.5000 0.5000 Pd
0.0000 0.5000 0.3023 Pd
0.0000 0.5000 0.8959 Pd
0.5000 0.5000 0.5988 Pd
0.0000 0.5000 0.6977 Pd
0.5000 0.5000 0.2031 Pd
0.5000 0.5000 0.0000 Pd
0.5000 0.0000 0.3023 Pd
0.5000 0.0000 0.5000 Pd
0.5000 0.5000 0.4012 Pd
0.5000 0.0000 0.1041 Pd
0.5000 0.0000 0.6977 Pd
0.5000 0.5000 0.7969 Pd
0.0000 0.0000 0.0000 Mg



PmPrSm2Y2, optimized geometry, DFT PBE-GGA; ΔH_f (0 K) = 0.274 eV per atom; ρ = 6.11 g cm⁻³; density of states at the Fermi level = 1.843 states/eV per atom
1.0
3.4258 0.0000 0.0000
0.0000 6.6865 0.0000
0.0000 0.0000 18.1383
Y Sm Pm Pr
4 4 2 2
direct
0.0000 0.2773 0.1503 Y
0.0000 0.7227 0.8497 Y
0.5000 0.2227 0.6503 Y
0.5000 0.7773 0.3497 Y
0.0000 0.7741 0.1835 Sm
0.5000 0.2741 0.3165 Sm
0.0000 0.2259 0.8165 Sm
0.5000 0.7259 0.6835 Sm
0.5000 0.5000 0.0000 Pm
0.0000 0.0000 0.5000 Pm
0.0000 0.0000 0.0000 Pr
0.5000 0.5000 0.5000 Pr